# 1
Density functional theory data (PBE) for an optimized crystal structure of Li2NbPd9.

Output
For the magnetic moment, the calculation gives 0.000 μB per atom. The formation energy is -0.329 eV/atom. Its crystal system is tetragonal. The value obtained for the electronic total energy is -64.59 eV for the cell shown.

abc: 3.9488 3.9488 11.6489
angles: 90.00 90.00 90.00
Closest atoms and distances in Å follow each position.
Space group P4/mmm (No. 123)
Asymmetric unit:
Li 0.0000 0.0000 0.1615 x2  12 Pd 2.73-2.81
Nb 0.0000 0.0000 0.5000 x1  12 Pd 2.77-2.79
Pd 0.0000 0.5000 0.0000 x2  4 Li 2.73, 8 Pd 2.76-2.79
Pd 0.0000 0.5000 0.3337 x4  8 Pd 2.77-2.79, 2 Nb 2.77, 2 Li 2.81
Pd 0.5000 0.5000 0.1660 x2  8 Pd 2.76-2.78, 4 Li 2.79
Pd 0.5000 0.5000 0.5000 x1  8 Pd 2.77, 4 Nb 2.79

# 2
Density functional theory data (PBE) for an optimized crystal structure of LiNb2Pd2.

Output
For the magnetic moment, the calculation gives 0.000 μB per atom. The formation energy is -0.073 eV/atom. Its crystal system is tetragonal. As for the relative energy among the computed polymorphs: 0.0107 eV per atom. The value obtained for the electronic total energy is -65.61 eV for the cell shown.

abc: 7.9322 7.9322 2.8218
angles: 90.00 90.00 90.00
Closest atoms and distances in Å follow each position.
Space group P4/mbm (No. 127)
Asymmetric unit:
Li 0.0000 0.0000 0.0000 x2  2 Li 2.82, 4 Pd 3.11
Nb 0.1658 0.3342 0.5000 x4  6 Pd 2.70-2.75, 2 Nb 2.82
Pd 0.1293 0.6293 0.0000 x4  6 Nb 2.70-2.75, 3 Pd 2.82-2.90

# 3
Density functional theory data (PBE) for an optimized crystal structure of Li3NbPd7.

Output
For the magnetic moment, the calculation gives 0.000 μB per atom. The formation energy is -0.119 eV/atom. Its crystal system is monoclinic. The value obtained for the electronic total energy is -106.94 eV for the cell shown.

abc: 8.3972 8.9533 5.1046
angles: 90.00 114.71 90.00
Closest atoms and distances in Å follow each position.
Space group C2/m (No. 12)
Asymmetric unit:
Li 0.0000 0.0000 0.0000 x2  6 Pd 2.55-2.56
Li 0.0000 0.2282 0.5000 x4  7 Pd 2.43-2.60
Nb 0.0000 0.5000 0.0000 x2  8 Pd 2.55-2.72
Pd 0.0000 0.5000 0.5000 x2  2 Li 2.43, 2 Nb 2.55
Pd 0.1768 0.2383 0.1855 x8  3 Li 2.53-2.60, 4 Pd 2.66-2.80, 1 Nb 2.72
Pd 0.1831 0.0000 0.5463 x4  3 Li 2.51-2.56, 1 Nb 2.70, 5 Pd 2.72-2.80

# 4
Density functional theory data (PBE) for an optimized crystal structure of LiNb2Pd7.

Output
For the magnetic moment, the calculation gives 0.000 μB per atom. The formation energy is 0.240 eV/atom. Its crystal system is orthorhombic. The value obtained for the electronic total energy is -112.01 eV for the cell shown.

abc: 7.1070 13.2527 4.2515
angles: 90.00 90.00 90.00
Closest atoms and distances in Å follow each position.
Space group Cmmm (No. 65)
Asymmetric unit:
Li 0.0000 0.0000 0.0000 x2  10 Pd 2.62-2.88
Nb 0.0000 0.2987 0.5000 x4  5 Pd 2.51-2.67
Pd 0.0000 0.1978 0.0000 x4  2 Nb 2.51, 1 Li 2.62, 4 Pd 2.78
Pd 0.0000 0.5000 0.5000 x2  4 Pd 2.64, 2 Nb 2.67
Pd 0.1873 0.1071 0.5000 x8  1 Nb 2.55, 5 Pd 2.64-2.84

Repeat the third record exactly.
Density functional theory data (PBE) for an optimized crystal structure of Li3NbPd7.

Output
For the magnetic moment, the calculation gives 0.000 μB per atom. The formation energy is -0.119 eV/atom. Its crystal system is monoclinic. The value obtained for the electronic total energy is -106.94 eV for the cell shown.

abc: 8.3972 8.9533 5.1046
angles: 90.00 114.71 90.00
Closest atoms and distances in Å follow each position.
Space group C2/m (No. 12)
Asymmetric unit:
Li 0.0000 0.0000 0.0000 x2  6 Pd 2.55-2.56
Li 0.0000 0.2282 0.5000 x4  7 Pd 2.43-2.60
Nb 0.0000 0.5000 0.0000 x2  8 Pd 2.55-2.72
Pd 0.0000 0.5000 0.5000 x2  2 Li 2.43, 2 Nb 2.55
Pd 0.1768 0.2383 0.1855 x8  3 Li 2.53-2.60, 4 Pd 2.66-2.80, 1 Nb 2.72
Pd 0.1831 0.0000 0.5463 x4  3 Li 2.51-2.56, 1 Nb 2.70, 5 Pd 2.72-2.80

> electronic total energy of number 3 (Li3NbPd7)?

-106.94 eV for the cell shown

> What is the magnetic moment in the first record?

0.000 μB per atom

> Among the records above, which one has the highest electronic total energy?

Li2NbPd9